{
  "formula": "MgPaNiOs",
  "functional": "PBE",
  "state": "optimized geometry",
  "lattice": [[4.6481, 0.0000, 0.0000], [2.3241, 4.0254, 0.0000], [2.3241, 1.3418, 3.7952]],
  "species": ["Os", "Mg", "Ni", "Pa"],
  "frac_coords": [[0.7500, 0.7500, 0.7500], [0.5000, 0.5000, 0.5000], [0.2500, 0.2500, 0.2500], [0.0000, 0.0000, 0.0000]],
  "magmom_total_mub_per_cell": 0.00,
  "formation_enthalpy_0k_mev_per_atom": -178,
  "dos_ef_per_ev_atom": 0.9751
}